Run P
DFT (PBE) results for a geometry-optimized Nd12Sm2Y5 structure.

Cell lengths 7.179, 8.817, 11.794 Å; angles 109.02, 107.72, 90.00 degrees
Fractional coordinates of all 19 atoms:
Nd1 0.363 0.386 0.213
Nd2 0.452 0.793 0.399
Nd3 0.637 0.614 0.787
Nd4 0.145 0.065 0.290
Nd5 0.855 0.935 0.710
Nd6 0.548 0.693 0.096
Nd7 0.548 0.207 0.601
Nd8 0.151 0.614 0.787
Nd9 0.849 0.386 0.213
Nd10 0.452 0.307 0.904
Nd11 0.946 0.793 0.399
Nd12 0.054 0.207 0.601
Sm1 0.745 0.000 0.000
Sm2 0.255 0.000 0.000
Y1 0.751 0.509 0.502
Y2 0.249 0.491 0.498
Y3 0.348 0.902 0.697
Y4 0.000 0.500 0.000
Y5 0.652 0.098 0.303

Computed properties:
Density of states at the Fermi level: 27.2 states/eV per cell

---

Run Q
DFT (PBE) results for a geometry-optimized Nd12Sm2Y5 structure.

Cell lengths 11.823, 10.789, 6.278 Å; angles 100.30, 90.00, 123.23 degrees
Fractional coordinates of all 19 atoms:
Nd1 0.455 0.394 0.199
Nd2 0.353 0.208 0.616
Nd3 0.445 0.890 0.726
Nd4 0.545 0.606 0.801
Nd5 0.145 0.792 0.384
Nd6 0.555 0.110 0.274
Nd7 0.940 0.394 0.199
Nd8 0.878 0.757 0.001
Nd9 0.122 0.243 0.999
Nd10 0.855 0.208 0.616
Nd11 0.647 0.792 0.384
Nd12 0.060 0.606 0.801
Y1 0.676 0.353 0.860
Y2 0.000 0.000 0.500
Y3 0.784 0.569 0.449
Y4 0.216 0.431 0.551
Y5 0.324 0.647 0.140
Sm1 0.771 0.000 0.000
Sm2 0.229 0.000 0.000

Computed properties:
Density of states at the Fermi level: 26.9 states/eV per cell

---

Taking the most stable structure as the zero point, the relative energies in meV per atom are run P 35; run Q 0.

---

Run P
DFT (PBE) results for a geometry-optimized Nd7SmY4 structure.

Cell lengths 7.339, 9.719, 9.054 Å; angles 81.15, 89.99, 40.94 degrees
Fractional coordinates of all 12 atoms:
Nd1 0.753 0.499 0.001
Nd2 0.029 0.721 0.335
Nd3 0.247 0.501 0.999
Nd4 0.779 0.222 0.334
Nd5 0.971 0.279 0.665
Nd6 0.500 0.000 0.000
Nd7 0.221 0.778 0.666
Y1 0.720 0.780 0.665
Y2 0.468 0.279 0.667
Y3 0.280 0.220 0.335
Y4 0.532 0.721 0.333
Sm1 0.000 0.000 0.000

Computed properties:
Density of states at the Fermi level: 17.3 states/eV per cell

---

Run Q
DFT (PBE) results for a geometry-optimized Nd7SmY4 structure.

Cell lengths 6.073, 11.780, 6.797 Å; angles 83.54, 63.47, 75.06 degrees
Fractional coordinates of all 12 atoms:
Nd1 0.500 0.000 0.000
Nd2 0.061 0.677 0.202
Nd3 0.210 0.079 0.501
Nd4 0.631 0.498 0.241
Nd5 0.369 0.502 0.759
Nd6 0.790 0.921 0.499
Nd7 0.939 0.323 0.798
Sm1 0.000 0.000 0.000
Y1 0.360 0.776 0.504
Y2 0.753 0.682 0.812
Y3 0.640 0.224 0.496
Y4 0.247 0.318 0.188

Computed properties:
Density of states at the Fermi level: 18.0 states/eV per cell

---

Taking the most stable structure as the zero point, the relative energies in meV per atom are run P 0; run Q 236.

---

Run P
DFT (PBE) results for a geometry-optimized Nd3SmY structure.

Cell lengths 5.162, 6.318, 11.561 Å; angles 89.83, 90.03, 114.16 degrees
Fractional coordinates of all 10 atoms:
Y1 0.350 0.701 0.950
Y2 0.650 0.299 0.050
Nd1 0.150 0.300 0.550
Nd2 0.751 0.501 0.752
Nd3 0.249 0.499 0.248
Nd4 0.949 0.899 0.149
Nd5 0.051 0.101 0.851
Nd6 0.850 0.700 0.450
Sm1 0.550 0.099 0.349
Sm2 0.450 0.901 0.651

Computed properties:
Density of states at the Fermi level: 14.6 states/eV per cell

---

Run Q
DFT (PBE) results for a geometry-optimized Nd3SmY structure.

Cell lengths 7.845, 9.380, 9.380 Å; angles 90.19, 90.00, 90.00 degrees
Fractional coordinates of all 20 atoms:
Nd1 0.117 0.897 0.903
Nd2 0.883 0.103 0.097
Nd3 0.614 0.400 0.100
Nd4 0.617 0.603 0.597
Nd5 0.886 0.900 0.600
Nd6 0.114 0.100 0.400
Nd7 0.883 0.403 0.397
Nd8 0.383 0.397 0.403
Nd9 0.383 0.097 0.103
Nd10 0.386 0.600 0.900
Nd11 0.617 0.903 0.897
Nd12 0.117 0.597 0.603
Y1 0.250 0.747 0.253
Y2 0.250 0.247 0.753
Y3 0.750 0.253 0.747
Y4 0.750 0.753 0.247
Sm1 0.879 0.599 0.901
Sm2 0.121 0.401 0.099
Sm3 0.379 0.901 0.599
Sm4 0.621 0.099 0.401

Computed properties:
Density of states at the Fermi level: 24.8 states/eV per cell

---

Taking the most stable structure as the zero point, the relative energies in meV per atom are run P 0; run Q 98.

---

Run P
DFT (PBE) results for a geometry-optimized Nd4Sm2Y structure.

Cell lengths 8.403, 7.816, 7.816 Å; angles 90.00, 90.23, 90.23 degrees
Fractional coordinates of all 14 atoms:
Nd1 0.719 0.248 0.247
Nd2 0.719 0.749 0.249
Nd3 0.281 0.752 0.753
Nd4 0.281 0.251 0.751
Nd5 0.719 0.250 0.750
Nd6 0.281 0.750 0.250
Nd7 0.719 0.747 0.748
Nd8 0.281 0.253 0.252
Y1 0.500 0.500 0.000
Y2 0.000 0.500 0.000
Sm1 0.000 0.000 0.500
Sm2 0.000 0.000 0.000
Sm3 0.500 0.000 0.500
Sm4 0.000 0.500 0.500

Computed properties:
Density of states at the Fermi level: 23.3 states/eV per cell

---

Run Q
DFT (PBE) results for a geometry-optimized Nd4Sm2Y structure.

Cell lengths 7.019, 7.019, 10.660 Å; angles 90.00, 90.00, 103.40 degrees
Fractional coordinates of all 14 atoms:
Nd1 0.200 0.200 0.500
Nd2 0.500 0.000 0.250
Nd3 0.500 0.000 0.750
Nd4 0.000 0.500 0.750
Nd5 0.200 0.200 0.000
Nd6 0.000 0.500 0.250
Nd7 0.800 0.800 0.500
Nd8 0.800 0.800 0.000
Y1 0.500 0.500 0.250
Y2 0.500 0.500 0.750
Sm1 0.704 0.294 0.500
Sm2 0.296 0.706 0.500
Sm3 0.706 0.296 0.000
Sm4 0.294 0.704 0.000

Computed properties:
Density of states at the Fermi level: 17.7 states/eV per cell

---

Taking the most stable structure as the zero point, the relative energies in meV per atom are run P 91; run Q 0.